# NaCo2SiO4

An optimized crystal structure of NaCo2SiO4 (GGA+U, Alexandria).

Structure (CIF):
```
data_NaCo2SiO4
_chemical_formula_sum 'Na2 Co4 Si2 O8'
_space_group_name_H-M_alt 'I -4 2 m'
_space_group_IT_number 121
_space_group_name_Hall 'I -4 2'
_cell_length_a 4.9640
_cell_length_b 4.9640
_cell_length_c 7.8073
_cell_angle_alpha 90.00
_cell_angle_beta 90.00
_cell_angle_gamma 90.00
loop_
_atom_site_label
_atom_site_type_symbol
_atom_site_fract_x
_atom_site_fract_y
_atom_site_fract_z
Na1 Na 0.0000 0.0000 0.0000
Co1 Co 0.0000 0.5000 0.2500
Si1 Si 0.0000 0.0000 0.5000
O1 O 0.1939 0.1939 0.6223
```

Properties
**Total moment**: 10.4 Bohr magnetons per cell
**E**: -99.45 eV for the cell shown